# 1
Density functional theory data (PBE) for a relaxed NaZnSn crystal.

Cell: 6.816 6.816 6.816 Å, 90.00 90.00 90.00°
Space group F-43m (No. 216)
Unique sites:
Na 0.000 0.000 0.000 (multiplicity 4)
Zn 0.250 0.250 0.250 (multiplicity 4)
Sn 0.250 0.250 0.750 (multiplicity 4)

Properties
E_tot	-1.85	eV per atom
crystal system	cubic

# 2
Density functional theory data (PBE) for a relaxed NaZnSn crystal.

Cell: 6.765 6.765 6.765 Å, 90.00 90.00 90.00°
Space group F-43m (No. 216)
Unique sites:
Na 0.000 0.000 0.000 (multiplicity 4)
Zn 0.000 0.000 0.500 (multiplicity 4)
Sn 0.250 0.250 0.250 (multiplicity 4)

Properties
E_tot	-2.14	eV per atom
crystal system	cubic

# 3
Density functional theory data (PBE) for a relaxed NaZr3Sn5 crystal.

Cell: 6.1145 6.1145 7.6967 Å, 90.00 90.00 120.00°
Space group P6/mmm (No. 191)
Unique sites:
Na 0.0000 0.0000 0.0000 (multiplicity 1)
Zr 0.0000 0.5000 0.5000 (multiplicity 3)
Sn 0.0000 0.0000 0.5000 (multiplicity 1)
Sn 0.3333 0.6667 0.1830 (multiplicity 4)

Properties
E_tot	-5.41	eV per atom
crystal system	hexagonal

# 4
Density functional theory data (PBE) for a relaxed NaZrSn crystal.

Cell: 6.895 6.895 6.895 Å, 90.00 90.00 90.00°
Space group F-43m (No. 216)
Unique sites:
Na 0.000 0.000 0.000 (multiplicity 4)
Zr 0.000 0.000 0.500 (multiplicity 4)
Sn 0.250 0.250 0.250 (multiplicity 4)

Properties
E_tot	-4.44	eV per atom
crystal system	cubic
relative energy among the computed polymorphs	0	meV/atom

# 5
Density functional theory data (PBE) for a relaxed NaSrTa crystal.

Cell: 7.768 7.768 7.768 Å, 90.00 90.00 90.00°
Space group F-43m (No. 216)
Unique sites:
Na 0.000 0.000 0.000 (multiplicity 4)
Sr 0.000 0.000 0.500 (multiplicity 4)
Ta 0.250 0.250 0.250 (multiplicity 4)

Properties
E_tot	-3.25	eV per atom
crystal system	cubic
relative energy among the computed polymorphs	0	meV/atom

# 6
Density functional theory data (PBE) for a relaxed NaSrTa crystal.

Cell: 7.754 7.754 7.754 Å, 90.00 90.00 90.00°
Space group F-43m (No. 216)
Unique sites:
Na 0.000 0.000 0.000 (multiplicity 4)
Sr 0.250 0.250 0.250 (multiplicity 4)
Ta 0.000 0.000 0.500 (multiplicity 4)

Properties
E_tot	-3.08	eV per atom
crystal system	cubic
relative energy among the computed polymorphs	170	meV/atom

# 7
Density functional theory data (PBE) for a relaxed NaSrTb crystal.

Cell: 8.041 8.041 8.041 Å, 90.00 90.00 90.00°
Space group F-43m (No. 216)
Unique sites:
Na 0.000 0.000 0.000 (multiplicity 4)
Sr 0.250 0.250 0.750 (multiplicity 4)
Tb 0.250 0.250 0.250 (multiplicity 4)

Properties
E_tot	-1.89	eV per atom
crystal system	cubic

# 8
Density functional theory data (PBE) for a relaxed NaSrTc crystal.

Cell: 7.321 7.321 7.321 Å, 90.00 90.00 90.00°
Space group F-43m (No. 216)
Unique sites:
Na 0.000 0.000 0.000 (multiplicity 4)
Sr 0.250 0.250 0.250 (multiplicity 4)
Tc 0.000 0.000 0.500 (multiplicity 4)

Properties
E_tot	-2.94	eV per atom
crystal system	cubic
relative energy among the computed polymorphs	229	meV/atom

# 9
Density functional theory data (PBE) for a relaxed NaSrTc crystal.

Cell: 7.283 7.283 7.283 Å, 90.00 90.00 90.00°
Space group F-43m (No. 216)
Unique sites:
Na 0.000 0.000 0.000 (multiplicity 4)
Sr 0.000 0.000 0.500 (multiplicity 4)
Tc 0.250 0.250 0.250 (multiplicity 4)

Properties
E_tot	-3.17	eV per atom
crystal system	cubic
relative energy among the computed polymorphs	0	meV/atom

# 10
Density functional theory data (PBE) for a relaxed NaSrTmTe3 crystal.

Cell: 19.082 4.417 9.693 Å, 90.00 104.49 90.00°
Space group C2/m (No. 12)
Unique sites:
Na 0.007 0.000 0.205 (multiplicity 4)
Sr 0.136 0.500 0.568 (multiplicity 4)
Tm 0.166 0.500 0.086 (multiplicity 4)
Te 0.000 0.000 0.500 (multiplicity 2)
Te 0.000 0.500 0.000 (multiplicity 2)
Te 0.170 0.000 0.863 (multiplicity 4)
Te 0.181 0.000 0.314 (multiplicity 4)

Properties
E_tot	-4.18	eV per atom
crystal system	monoclinic
relative energy among the computed polymorphs	0	meV/atom

# 11
Density functional theory data (PBE) for a relaxed NaSrTmTe3 crystal.

Cell: 14.974 4.523 11.527 Å, 90.00 90.00 90.00°
Space group Pnma (No. 62)
Unique sites:
Na 0.003 0.250 0.090 (multiplicity 4)
Sr 0.235 0.750 0.041 (multiplicity 4)
Tm 0.016 0.750 0.333 (multiplicity 4)
Te 0.103 0.750 0.570 (multiplicity 4)
Te 0.122 0.250 0.872 (multiplicity 4)
Te 0.148 0.250 0.262 (multiplicity 4)

Properties
E_tot	-4.11	eV per atom
crystal system	orthorhombic
relative energy among the computed polymorphs	73	meV/atom

# 12
Density functional theory data (PBE) for a relaxed NaSrTmTe3 crystal.

Cell: 8.422 4.482 10.866 Å, 90.00 107.43 90.00°
Space group P2_1/m (No. 11)
Unique sites:
Na 0.091 0.250 0.088 (multiplicity 2)
Sr 0.270 0.250 0.796 (multiplicity 2)
Tm 0.307 0.750 0.346 (multiplicity 2)
Te 0.060 0.250 0.349 (multiplicity 2)
Te 0.299 0.750 0.045 (multiplicity 2)
Te 0.435 0.750 0.637 (multiplicity 2)

Properties
E_tot	-4.11	eV per atom
crystal system	monoclinic
relative energy among the computed polymorphs	73	meV/atom

Q: What is the E_tot in the seventh record?
A: -1.89 eV per atom